Density functional theory data (GGA-PBE) for a relaxed structure of Pm2Dy7Ho3.

The structure in extended XYZ format:
```
12
Lattice="5.474 0.000 0.000 0.000 6.128 -0.089 0.000 -0.119 12.177" Properties=species:S:1:pos:R:3 pbc="T T T"
Ho 0.000 0.251 8.007
Pm 2.737 3.621 3.353
Dy 2.737 4.624 6.577
Pm 2.737 2.388 8.735
Ho 0.000 5.759 4.082
Dy 2.737 5.537 10.049
Ho 2.737 3.064 -0.044
Dy 2.737 1.385 5.511
Dy 2.737 0.472 2.039
Dy 0.000 3.339 9.976
Dy 0.000 2.671 2.113
Dy 0.000 0.000 0.000
```

Summary:
space-group type	P2/m (10)
E above lowest polymorph	0.204	eV/atom
formation enthalpy at 0 K	0.317	eV per atom

Density functional theory data (GGA-PBE) for a relaxed structure of PmDyHo2.

The structure in extended XYZ format:
```
4
Lattice="-1.126 2.640 2.107 0.690 -0.091 3.492 9.789 6.534 0.052" Properties=species:S:1:pos:R:3 pbc="T T T"
Ho 6.985 6.796 4.244
Dy 4.676 4.542 2.826
Pm 0.000 0.000 0.000
Ho 2.368 2.288 1.407
```

Summary:
space-group type	R-3m (166)
E above lowest polymorph	0.002	eV/atom
formation enthalpy at 0 K	0.018	eV per atom

Density functional theory data (GGA-PBE) for a relaxed structure of Pm16Dy7Ho6.

The structure in extended XYZ format:
```
29
Lattice="1.253 -5.474 9.750 2.162 -11.042 0.015 10.153 -3.741 3.088" Properties=species:S:1:pos:R:3 pbc="T T T"
Pm 4.753 -7.096 4.503
Pm 2.735 -10.921 6.502
Pm 10.792 -12.197 11.243
Dy 6.157 -7.391 1.552
Ho 9.361 -12.297 4.878
Pm 2.320 -5.270 6.489
Dy 1.081 -5.521 0.008
Dy 0.000 0.000 0.000
Ho 8.937 -9.703 9.415
Ho 5.214 -13.105 7.983
Dy 5.076 -1.870 1.544
Pm 11.875 -17.731 11.251
Pm 6.780 -4.401 3.150
Pm 6.787 -15.856 9.703
Dy 1.707 -8.258 4.883
Pm 11.247 -14.987 6.364
Ho 8.354 -7.152 4.871
Ho 4.206 -7.959 7.976
Dy 5.703 -4.607 6.419
Ho 4.630 -10.554 3.439
Pm 2.775 -8.060 1.611
Dy 0.626 -2.737 4.875
Pm 7.520 -6.549 8.342
Pm 6.047 -13.708 4.512
Pm 5.503 -10.374 10.341
Pm 8.064 -9.883 2.513
Pm 8.814 -13.161 8.351
Pm 1.692 -2.526 1.603
Pm 10.832 -9.336 6.352
```

Summary:
space-group type	Fm-3m (225)
formation enthalpy at 0 K	0.216	eV per atom

> Among the records above, which one has the lowest formation enthalpy at 0 K?

PmDyHo2

> Look up the formation enthalpy at 0 K of the third one.

0.216 eV per atom

> Look up the formation enthalpy at 0 K of the third one.

0.216 eV per atom

> Which formula does entry 3 have?

Pm16Dy7Ho6